Record 1
## SmU2Tl2Se6 (PBE-GGA)

Data for an optimized crystal structure of SmU2Tl2Se6.

extended XYZ file:
```
11
Lattice="3.6229 -6.2916 0.0000 3.6229 6.2916 0.0000 -2.3675 0.0000 7.8334" Properties=species:S:1:pos:R:3 pbc="T T T"
Sm 0.0000 0.0000 0.0000
U 3.6229 2.0900 0.0000
U 3.6229 -2.0900 0.0000
Tl 2.4391 4.2256 3.9167
Tl 2.4391 -4.2256 3.9167
Se 1.2287 2.1505 1.5918
Se 0.0982 0.0000 6.2370
Se 1.2287 -2.1505 1.5918
Se 3.6494 2.1505 6.2416
Se 4.7799 0.0000 1.5964
Se 3.6494 -2.1505 6.2416
```

For the formation energy without anion corrections, the calculation gives -1148 meV/atom. Its magnetic moment is 5.0 μB/f.u. As for the symmetry: No. 12.

Record 2
## Pr3Nd6Sm2 (PBE-GGA)

Data for an optimized crystal structure of Pr3Nd6Sm2.

extended XYZ file:
```
11
Lattice="-2.4445 2.4445 16.9906 2.4445 -2.4445 16.9906 2.4445 2.4445 -16.9906" Properties=species:S:1:pos:R:3 pbc="T T T"
Pr 0.0000 0.0000 0.0000
Pr 0.0000 0.0000 6.8570
Pr 0.0000 0.0000 27.1241
Nd 2.4445 0.0000 4.0515
Nd 0.0000 0.0000 10.3206
Nd 2.4445 0.0000 12.9391
Nd 0.0000 2.4445 4.0515
Nd 0.0000 0.0000 23.6605
Nd 0.0000 2.4445 12.9391
Sm 0.0000 0.0000 15.4569
Sm 0.0000 0.0000 18.5242
```

The formation enthalpy at 0 K comes out at 2.8 eV per formula unit. Its magnetic moment is 0.0 μB/f.u. The energy above the most stable polymorph in this dataset comes out at 244 meV per atom. As for the symmetry: No. 139.